1.
The following is a DFT calculation (PBE) of SmBi2As2Pd7 after structural relaxation.

Geometry as POSCAR:
```
SmBi2As2Pd7
1.0
2.918 -2.901 0.000
2.918 2.901 0.000
-1.600 0.000 14.295
Sm Bi As Pd
1 2 2 7
Direct
0.000 0.000 0.000
0.124 0.124 0.395
0.876 0.876 0.605
0.429 0.429 0.749
0.571 0.571 0.251
0.043 0.542 0.152
0.357 0.357 0.575
0.458 0.957 0.848
0.500 0.500 0.000
0.542 0.043 0.152
0.643 0.643 0.425
0.957 0.458 0.848
```

ΔE_f = -0.44 eV per atom
energy = -5.2891 eV/atom

***

2.
The following is a DFT calculation (PBE) of Sr2CaSb4Pd3 after structural relaxation.

Geometry as POSCAR:
```
Sr2CaSb4Pd3
1.0
4.648 0.000 0.000
0.000 4.648 0.000
0.000 0.000 12.041
Sr Ca Sb Pd
2 1 4 3
Direct
0.000 0.500 0.236
0.500 0.000 0.764
0.000 0.000 0.500
0.000 0.000 0.000
0.000 0.500 0.656
0.500 0.000 0.344
0.500 0.500 0.000
0.000 0.500 0.880
0.500 0.000 0.120
0.500 0.500 0.500
```

energy = -4.5332 eV/atom
ΔE_f (raw) = -0.790 eV/atom

***

3.
The following is a DFT calculation (PBE) of InSbTe after structural relaxation.

Geometry as POSCAR:
```
InSbTe
1.0
0.000 2.640 8.251
1.922 0.000 8.251
1.922 2.640 0.000
In Sb Te
1 1 1
Direct
0.000 0.000 0.000
0.340 0.340 0.660
0.668 0.668 0.332
```

energy = -3.1963 eV/atom
ΔE_f (raw) = 0.138 eV/atom
ΔE to the lowest computed polymorph = 0.237 eV per atom

***

4.
The following is a DFT calculation (PBE) of Tl2Ge2B after structural relaxation.

Geometry as POSCAR:
```
Tl2Ge2B
1.0
6.589 0.000 0.000
0.000 6.589 0.000
0.000 0.000 5.336
Tl Ge B
4 4 2
Direct
0.169 0.331 0.000
0.331 0.831 0.000
0.669 0.169 0.000
0.831 0.669 0.000
0.147 0.647 0.500
0.353 0.147 0.500
0.647 0.853 0.500
0.853 0.353 0.500
0.000 0.000 0.000
0.500 0.500 0.000
```

ΔE_f = 0.99 eV per atom
energy = -3.1387 eV/atom
ΔE to the lowest computed polymorph = 0.229 eV per atom

***

5.
The following is a DFT calculation (PBE) of TlCuCl3 after structural relaxation.

Geometry as POSCAR:
```
TlCuCl3
1.0
3.976 -10.988 0.000
3.976 10.988 0.000
0.000 0.000 4.905
Tl Cu Cl
2 2 6
Direct
0.137 0.863 0.750
0.863 0.137 0.250
0.331 0.669 0.750
0.669 0.331 0.250
0.000 0.000 0.000
0.000 0.000 0.500
0.065 0.409 0.750
0.409 0.065 0.250
0.591 0.935 0.750
0.935 0.591 0.250
```

energy = -2.9611 eV/atom
ΔE_f (raw) = -0.561 eV/atom

***

6.
The following is a DFT calculation (PBE) of Sr2US6 after structural relaxation.

Geometry as POSCAR:
```
Sr2US6
1.0
7.387 0.000 0.000
0.000 8.644 0.000
-4.641 0.000 7.647
Sr U S
4 2 12
Direct
0.201 0.075 0.284
0.201 0.425 0.784
0.799 0.575 0.216
0.799 0.925 0.716
0.500 0.000 0.000
0.500 0.500 0.500
0.158 0.135 0.936
0.158 0.365 0.436
0.342 0.739 0.002
0.342 0.761 0.502
0.369 0.508 0.171
0.369 0.992 0.671
0.631 0.008 0.329
0.631 0.492 0.829
0.658 0.239 0.498
0.658 0.261 0.998
0.842 0.635 0.564
0.842 0.865 0.064
```

energy = -5.6637 eV/atom
ΔE_f (raw) = -1.284 eV/atom
ΔE to the lowest computed polymorph = 0.000 eV per atom

***

7.
The following is a DFT calculation (PBE) of Ac4Mg2Cu after structural relaxation.

Geometry as POSCAR:
```
Ac4Mg2Cu
1.0
-2.846 2.846 8.644
2.846 -2.846 8.644
2.846 2.846 -8.644
Ac Mg Cu
4 2 1
Direct
0.000 0.500 0.500
0.180 0.180 0.000
0.500 0.000 0.500
0.820 0.820 0.000
0.377 0.377 0.000
0.623 0.623 0.000
0.000 0.000 0.000
```

ΔE_f = 0.18 eV per atom
energy = -3.2115 eV/atom

***

8.
The following is a DFT calculation (PBE) of LiSc2Fe after structural relaxation.

Geometry as POSCAR:
```
LiSc2Fe
1.0
3.116 0.000 0.000
0.000 3.126 0.000
-0.012 0.000 7.788
Li Sc Fe
1 2 1
Direct
0.000 0.000 0.000
0.500 0.500 0.308
0.500 0.500 0.692
0.000 0.000 0.500
```

ΔE_f = -0.08 eV per atom
energy = -5.8435 eV/atom